1.
Material: BaPaO3
Method: DFT, GGA-PBE
State: optimized geometry

a = 4.6332 Å, b = 4.6332 Å, c = 4.6332 Å
α = 90.00°, β = 90.00°, γ = 90.00°
With the nearest neighbours (Å) after each atom.
Space group Pm-3m (No. 221)
One atom of each set of equivalent atoms:
Ba1 0.0000 0.0000 0.0000 (multiplicity 1)  6 O 2.32
Pa1 0.5000 0.5000 0.5000 (multiplicity 1)  12 O 3.28
O1 0.0000 0.0000 0.5000 (multiplicity 3)  2 Ba 2.32

## Properties
The total magnetization is 1.00 μB per formula unit. The value obtained for the calculated total energy is -28.81 eV/cell.



2.
Material: BaPa2O6
Method: DFT, GGA-PBE
State: optimized geometry

a = 11.1848 Å, b = 11.1848 Å, c = 11.1848 Å
α = 90.00°, β = 90.00°, γ = 90.00°
With the nearest neighbours (Å) after each atom.
Space group Fd-3m (No. 227, origin choice 2)
One atom of each set of equivalent atoms:
Ba1 0.1250 0.1250 0.1250 (multiplicity 8)  6 O 3.27
Pa1 0.0000 0.0000 0.5000 (multiplicity 16)  6 O 2.18
O1 0.0830 0.3750 0.8750 (multiplicity 48)  2 Pa 2.18

## Properties
The total magnetization is 0.00 μB per formula unit. The value obtained for the calculated total energy is -605.14 eV/cell.



3.
Material: BaPa2O4
Method: DFT, GGA-PBE
State: optimized geometry

a = 10.4044 Å, b = 10.4044 Å, c = 10.4044 Å
α = 90.00°, β = 90.00°, γ = 90.00°
With the nearest neighbours (Å) after each atom.
Space group Fd-3m (No. 227, origin choice 2)
One atom of each set of equivalent atoms:
Ba1 0.1250 0.1250 0.1250 (multiplicity 8)  4 O 2.67
Pa1 0.0000 0.0000 0.5000 (multiplicity 16)  6 O 2.38
O1 0.0233 0.0233 0.7267 (multiplicity 32)  3 Pa 2.38

## Properties
The total magnetization is 3.70 μB per formula unit. The value obtained for the calculated total energy is -456.56 eV/cell.